Ac2AgWO6 | PBE+U | relaxed

Summary:
Volume   172.9 Å³/f.u.
Total energy   -7.095 eV/atom
Total magnetization   0.94 Bohr magnetons per cell
N(E_F)   0.000 states/eV/cell
Space-group type   No. 99

extended XYZ file:
```
10
Lattice="5.450 0.000 0.000 0.000 5.633 0.000 0.000 0.000 5.633" Properties=species:S:1:pos:R:3 pbc="T T T"
O 4.039 1.280 1.280
O 4.039 1.280 4.354
O 1.369 0.000 0.000
O 0.616 2.817 2.817
O 4.039 4.354 4.354
Ac 0.041 2.817 0.000
Ac 0.041 0.000 2.817
W 3.250 0.000 0.000
Ag 2.759 2.817 2.817
O 4.039 4.354 1.280
```